No. 1
10
Lattice="4.086 0.000 0.000 0.000 4.086 0.000 0.000 0.000 11.664" Properties=species:S:1:pos:R:3 comment="PBE Tm2AlZn3Au4, relaxed" n_ef_per_ev_fu=4.15 magmom_total_mub_per_cell=0.0 formation_energy_ev_per_atom=-0.507 pbc="T T T"
Tm 0.000 2.043 2.901
Tm 2.043 0.000 8.763
Al 0.000 0.000 5.832
Zn 0.000 2.043 10.017
Zn 2.043 0.000 1.647
Zn 2.043 2.043 5.832
Au 0.000 0.000 0.000
Au 0.000 2.043 7.509
Au 2.043 0.000 4.155
Au 2.043 2.043 0.000

=====

No. 2
10
Lattice="4.133 0.000 0.000 0.000 4.133 0.000 0.000 0.000 10.853" Properties=species:S:1:pos:R:3 comment="PBE Tm2Al4Zn3Au, relaxed" n_ef_per_ev_fu=2.97 magmom_total_mub_per_cell=0.0 formation_energy_ev_per_atom=-0.407 pbc="T T T"
Tm 0.000 2.066 2.672
Tm 2.066 0.000 8.181
Al 0.000 0.000 0.000
Al 0.000 2.066 6.932
Al 2.066 0.000 3.921
Al 2.066 2.066 0.000
Zn 0.000 2.066 9.334
Zn 2.066 0.000 1.518
Zn 2.066 2.066 5.426
Au 0.000 0.000 5.426

=====

No. 3
12
Lattice="2.852 -8.360 0.000 2.852 8.360 0.000 0.000 0.000 5.707" Properties=species:S:1:pos:R:3 comment="PBE TmAlZnAu3, relaxed" n_ef_per_ev_fu=3.30 magmom_total_mub_per_cell=0.0 formation_energy_ev_per_atom=-0.301 pbc="T T T"
Tm 2.852 5.300 4.280
Tm 2.852 -5.300 1.427
Al 2.852 1.584 1.427
Al 2.852 -1.584 4.280
Zn 2.852 6.580 1.427
Zn 2.852 -6.580 4.280
Au 1.404 0.000 0.000
Au 1.404 0.000 2.853
Au 2.852 4.069 1.427
Au 2.852 -4.069 4.280
Au 4.301 0.000 0.000
Au 4.301 0.000 2.853

=====

Number 1: calculated density 11.5 g cm⁻³. Number 2: calculated density 7.5 g cm⁻³. Number 3: calculated density 10.4 g cm⁻³.